Entry 1:
Computed, not measured: a relaxed structure of UHN at the PBE level of DFT.

## Properties
Total magnetization: 8.003 μB/cell
E: -25.5 eV per formula unit

a b c (Å): 3.652 6.652 6.129
angles (deg): 90.00 90.00 90.00
Fractional coordinates of all 12 atoms:
H (0.750, 0.331, 0.540)
H (0.750, 0.169, 0.040)
H (0.250, 0.669, 0.460)
H (0.250, 0.831, 0.960)
N (0.750, 0.923, 0.648)
N (0.250, 0.423, 0.852)
N (0.250, 0.077, 0.352)
N (0.750, 0.577, 0.148)
U (0.250, 0.108, 0.723)
U (0.750, 0.608, 0.777)
U (0.750, 0.892, 0.277)
U (0.250, 0.392, 0.223)

***

Entry 2:
Computed, not measured: a relaxed structure of UHN at the PBE level of DFT.

## Properties
Total magnetization: 2.000 μB/cell
E: -25.7 eV per formula unit

a b c (Å): 3.757 3.757 3.757
angles (deg): 60.00 60.00 60.00
Fractional coordinates of all 3 atoms:
U (0.250, 0.250, 0.250)
N (0.000, 0.000, 0.000)
H (0.500, 0.500, 0.500)

***

Entry 3:
Computed, not measured: a relaxed structure of U2HN at the PBE level of DFT.

## Properties
Total magnetization: 0.000 μB/cell
Energy relative to the lowest polymorph listed for this composition: 12.13 kcal/mol of atoms

a b c (Å): 2.865 2.865 5.862
angles (deg): 90.00 90.00 90.00
Fractional coordinates of all 4 atoms:
N (0.500, 0.500, 0.000)
H (0.500, 0.500, 0.500)
U (0.000, 0.000, 0.738)
U (0.000, 0.000, 0.262)

***

Entry 4:
Computed, not measured: a relaxed structure of UHN2 at the PBE level of DFT.

## Properties
Total magnetization: 1.002 μB/cell
E: -34.3 eV per formula unit

a b c (Å): 3.558 3.558 5.018
angles (deg): 69.23 69.23 60.00
Fractional coordinates of all 4 atoms:
N (0.904, 0.904, 0.287)
N (0.096, 0.096, 0.713)
H (0.000, 0.000, 0.000)
U (0.500, 0.500, 0.500)

***

Entry 5:
Computed, not measured: a relaxed structure of V4H3N at the PBE level of DFT.

## Properties
Total magnetization: 0.000 μB/cell
E: -58.9 eV per formula unit

a b c (Å): 4.827 4.959 5.642
angles (deg): 90.00 90.00 109.50
Fractional coordinates of all 16 atoms:
H (0.750, 0.500, 0.622)
H (0.250, 0.500, 0.873)
H (0.250, 0.000, 0.625)
H (0.750, 0.000, 0.375)
H (0.250, 0.500, 0.378)
H (0.750, 0.500, 0.127)
V (0.002, 0.251, 0.124)
V (0.000, 0.754, 0.375)
V (0.998, 0.749, 0.876)
V (0.502, 0.251, 0.876)
V (0.000, 0.246, 0.625)
V (0.500, 0.754, 0.625)
V (0.498, 0.749, 0.124)
V (0.500, 0.246, 0.375)
N (0.750, 0.000, 0.874)
N (0.250, 0.000, 0.126)

***

Entry 6:
Computed, not measured: a relaxed structure of V6H3N at the PBE level of DFT.

## Properties
Total magnetization: 0.000 μB/cell
Energy relative to the lowest polymorph listed for this composition: 0.00 kcal/mol of atoms

a b c (Å): 4.525 5.408 7.732
angles (deg): 90.00 86.95 90.00
Fractional coordinates of all 20 atoms:
V (0.740, 0.500, 0.262)
V (0.206, 0.306, 0.066)
V (0.794, 0.694, 0.934)
V (0.295, 0.795, 0.098)
V (0.294, 0.806, 0.434)
V (0.795, 0.705, 0.598)
V (0.205, 0.295, 0.402)
V (0.240, 0.000, 0.762)
V (0.260, 0.500, 0.738)
V (0.705, 0.205, 0.902)
V (0.760, 0.000, 0.238)
V (0.706, 0.194, 0.566)
H (0.000, 0.000, 0.500)
H (0.518, 0.753, 0.777)
H (0.018, 0.747, 0.277)
H (0.482, 0.247, 0.223)
H (0.982, 0.253, 0.723)
H (0.500, 0.500, 0.000)
N (0.500, 0.500, 0.500)
N (0.000, 0.000, 0.000)

***

Entry 7:
Computed, not measured: a relaxed structure of VH3N at the PBE level of DFT.

## Properties
Total magnetization: 1.293 μB/cell
Energy relative to the lowest polymorph listed for this composition: 0.00 kcal/mol of atoms

a b c (Å): 3.090 3.090 3.090
angles (deg): 90.00 90.00 90.00
Fractional coordinates of all 5 atoms:
H (0.500, 0.000, 0.000)
H (0.000, 0.000, 0.500)
H (0.000, 0.500, 0.000)
N (0.000, 0.000, 0.000)
V (0.500, 0.500, 0.500)

***

Entry 8:
Computed, not measured: a relaxed structure of VHN at the PBE level of DFT.

## Properties
Total magnetization: 0.555 μB/cell
Energy relative to the lowest polymorph listed for this composition: 7.35 kcal/mol of atoms

a b c (Å): 2.711 2.711 3.448
angles (deg): 113.15 113.15 90.00
Fractional coordinates of all 3 atoms:
N (0.936, 0.936, 0.872)
V (0.294, 0.294, 0.587)
H (0.620, 0.620, 0.240)